Entry 1:
VASP calculation (PBE) on a relaxed ErGa3 crystal.

```
ErGa3
1.0
6.204 0.000 0.000
-3.102 5.373 0.000
0.000 0.000 4.594
Er Ga
2 6
direct
0.333 0.667 0.250
0.667 0.333 0.750
0.149 0.297 0.750
0.149 0.851 0.750
0.297 0.149 0.250
0.703 0.851 0.750
0.851 0.149 0.250
0.851 0.703 0.250
```

Results
Its space group is No. 194.



Entry 2:
VASP calculation (PBE) on a relaxed Er5Ga3 crystal.

```
Er5Ga3
1.0
-3.775 3.775 7.032
3.775 -3.775 7.032
3.775 3.775 -7.032
Er Ga
10 6
direct
0.000 0.000 0.000
0.021 0.521 0.838
0.183 0.021 0.500
0.317 0.817 0.838
0.479 0.317 0.500
0.500 0.500 0.000
0.521 0.683 0.500
0.683 0.183 0.162
0.817 0.979 0.500
0.979 0.479 0.162
0.123 0.377 0.500
0.250 0.250 0.000
0.377 0.877 0.254
0.623 0.123 0.746
0.750 0.750 0.000
0.877 0.623 0.500
```

Results
The energy above the lowest structure with this stoichiometry is 0.0 meV per atom. Its space group is No. 140.



Entry 3:
VASP calculation (PBE) on a relaxed ErGa crystal.

```
ErGa
1.0
0.000 2.935 2.935
2.935 0.000 2.935
2.935 2.935 0.000
Er Ga
1 1
direct
0.000 0.000 0.000
0.500 0.500 0.500
```

Results
Its space group is No. 225.



Entry 4:
VASP calculation (PBE) on a relaxed ErGa2 crystal.

```
ErGa2
1.0
4.204 0.000 0.000
-2.102 3.641 0.000
0.000 0.000 4.034
Er Ga
1 2
direct
0.000 0.000 0.000
0.333 0.667 0.500
0.667 0.333 0.500
```

Results
Its space group is No. 191.



Entry 5:
VASP calculation (PBE) on a relaxed ErGa5 crystal.

```
ErGa5
1.0
2.120 -6.155 0.000
2.120 6.155 0.000
0.000 0.000 4.368
Er Ga
1 5
direct
0.000 0.000 0.000
0.172 0.828 0.500
0.323 0.677 0.000
0.500 0.500 0.500
0.677 0.323 0.000
0.828 0.172 0.500
```

Results
The energy above the lowest structure with this stoichiometry is 0.0 meV per atom. Its space group is No. 65.



Entry 6:
VASP calculation (PBE) on a relaxed ErGa crystal.

```
ErGa
1.0
4.378 -3.638 0.000
4.378 3.638 0.000
0.000 0.000 5.559
Er Ga
4 4
direct
0.038 0.342 0.250
0.342 0.038 0.750
0.658 0.962 0.250
0.962 0.658 0.750
0.180 0.820 0.250
0.500 0.500 0.000
0.500 0.500 0.500
0.820 0.180 0.750
```

Results
Its space group is No. 63.



N(E_F) (states/eV/f.u.)
1.53 5.96 3.24 1.58 1.90 1.15
Energy of formation (eV per atom)
-0.510 -0.499 -0.243 -0.611 -0.281 -0.537